(1)
Compound: AcPa6S8
Source: the Alexandria database
Functional: PBE-GGA
Structure: relaxed

```
AcPa6S8
1.0
7.091 1.293 1.336
1.072 7.128 1.336
1.072 1.106 7.167
Ac Pa S
1 6 8
Direct
0.000 0.000 0.000 Ac
0.551 0.292 0.929 Pa
0.292 0.929 0.551 Pa
0.929 0.551 0.292 Pa
0.449 0.708 0.071 Pa
0.708 0.071 0.449 Pa
0.071 0.449 0.708 Pa
0.667 0.667 0.667 S
0.333 0.333 0.333 S
0.612 0.901 0.210 S
0.901 0.210 0.612 S
0.210 0.612 0.901 S
0.388 0.099 0.790 S
0.099 0.790 0.388 S
0.790 0.388 0.099 S
```

formation energy without anion corrections: -20.4 eV per formula unit
magnetic moment: 1.5 μB per cell


(2)
Compound: AcScPa2S8
Source: the Alexandria database
Functional: PBE-GGA
Structure: relaxed

```
AcScPa2S8
1.0
-0.104 -1.247 -6.239
5.810 -2.106 0.089
-2.815 -7.698 1.585
Ac Sc Pa S
1 1 2 8
Direct
0.000 0.000 0.500 Ac
0.000 0.000 0.000 Sc
0.500 0.500 0.757 Pa
0.500 0.500 0.243 Pa
0.172 0.767 0.220 S
0.667 0.717 0.000 S
0.828 0.233 0.220 S
0.828 0.233 0.780 S
0.333 0.283 0.000 S
0.172 0.767 0.780 S
0.636 0.714 0.500 S
0.364 0.286 0.500 S
```

formation energy without anion corrections: -20.0 eV per formula unit
magnetic moment: 0.0 μB per cell


(3)
Compound: AcScPaS6
Source: the Alexandria database
Functional: PBE-GGA
Structure: relaxed

```
AcScPaS6
1.0
5.927 0.000 0.000
0.000 6.864 0.000
0.000 -3.432 5.945
Ac Sc Pa S
1 1 1 6
Direct
0.500 0.667 0.333 Ac
0.500 0.000 0.000 Sc
0.000 0.333 0.667 Pa
0.750 0.674 0.711 S
0.750 0.289 0.963 S
0.750 0.037 0.326 S
0.250 0.289 0.326 S
0.250 0.674 0.963 S
0.250 0.037 0.711 S
```

formation energy without anion corrections: -13.6 eV per formula unit
magnetic moment: 0.0 μB per cell


(4)
Compound: Ac2ScPaS6
Source: the Alexandria database
Functional: PBE-GGA
Structure: relaxed

```
Ac2ScPaS6
1.0
-2.179 -2.561 6.535
6.817 -1.435 1.711
-1.779 6.758 -2.275
Ac Sc Pa S
2 1 1 6
Direct
0.714 0.286 0.572 Ac
0.216 0.784 0.568 Ac
0.503 0.497 0.993 Sc
0.003 0.997 0.994 Pa
0.847 0.722 0.070 S
0.768 0.641 0.481 S
0.160 0.232 0.872 S
0.651 0.154 0.875 S
0.278 0.349 0.502 S
0.359 0.841 0.072 S
```

formation energy without anion corrections: -18.8 eV per formula unit
magnetic moment: 2.1 μB per cell